DFT (GGA-PBE) results for Rb6V3Cl14 after structural relaxation.

## Properties
* calculated total energy: -4.158 eV per atom
* density of states at the Fermi level: 15.18 states/eV per cell
* uncorrected formation energy: -1592 meV/atom

Structure (CIF):
```
data_Rb6V3Cl14
_chemical_formula_sum 'Rb6 V3 Cl14'
_space_group_name_H-M_alt 'P 3'
_space_group_IT_number 143
_cell_length_a 11.7800
_cell_length_b 11.7800
_cell_length_c 6.5045
_cell_angle_alpha 90.00
_cell_angle_beta 90.00
_cell_angle_gamma 120.00
loop_
_space_group_symop_operation_xyz
'x,y,z'
'-y,x-y,z'
'-x+y,-x,z'
loop_
_atom_site_label
_atom_site_fract_x
_atom_site_fract_y
_atom_site_fract_z
Rb1 0.0236 0.4531 0.0000
Rb2 0.3159 0.2138 0.5225
V1 0.0000 0.0000 0.0855
V2 0.3333 0.6667 0.5641
V3 0.6667 0.3333 0.2355
Cl1 0.0000 0.0000 0.7344
Cl2 0.0733 0.2038 0.2129
Cl3 0.1985 0.7348 0.6977
Cl4 0.3333 0.6667 0.2124
Cl5 0.4671 0.2667 0.0268
Cl6 0.5354 0.1347 0.4469
```